Here is a relaxed structure of VCo2HRu from Alexandria via LeMat-Bulk. Energies are from PBE.

Unit cell a=3.610 b=3.610 c=3.805 alpha=90.00 beta=90.00 gamma=90.00
Positions (direct):
Co 0.000 0.500 0.000
Co 0.500 0.000 0.000
V 0.500 0.500 0.500
H 0.000 0.000 0.000
Ru 0.000 0.000 0.500

**Electronic total energy**: -7.32 eV per atom